# 1
A relaxed structure of Tl2MoBr. Source: Alexandria via LeMat-Bulk, functional PBE-GGA.

Geometry as POSCAR:
```
Tl2MoBr
1.0
6.214 0.004 0.000
2.956 5.466 0.000
-4.585 -2.735 3.180
Tl Mo Br
2 1 1
Direct
0.000 0.000 0.000 Tl
0.500 0.500 0.000 Tl
0.750 0.250 0.500 Mo
0.250 0.750 0.500 Br
```

Values from the calculation:
The density of states at the Fermi level comes out at 2.7 states/eV per cell. The symmetry is I4/mmm, No. 139. The calculation puts the total energy at -14.25 eV for the cell shown. For the relative energy among the computed polymorphs, the calculation gives 477 meV per atom.

# 2
A relaxed structure of LaAlPb. Source: Alexandria via LeMat-Bulk, functional PBE-GGA.

Geometry as POSCAR:
```
LaAlPb
1.0
5.054 0.000 0.000
2.527 4.377 0.000
2.527 1.459 4.126
La Al Pb
1 1 1
Direct
0.000 0.000 0.000 La
0.750 0.750 0.750 Al
0.500 0.500 0.500 Pb
```

Values from the calculation:
The density of states at the Fermi level comes out at 3.2 states/eV per cell. The value obtained for the energy of formation from the pure elements is -174.9 meV/atom. The symmetry is F-43m, No. 216. The calculation puts the total energy at -12.90 eV for the cell shown.

# 3
A relaxed structure of Tl3C. Source: Alexandria via LeMat-Bulk, functional PBE-GGA.

Geometry as POSCAR:
```
Tl3C
1.0
-2.891 1.779 -0.551
-1.279 0.017 6.765
4.489 7.554 0.829
Tl C
6 2
Direct
0.000 0.744 0.179 Tl
0.500 0.244 0.821 Tl
0.000 0.256 0.179 Tl
0.500 0.756 0.821 Tl
0.500 0.000 0.482 Tl
0.000 0.500 0.518 Tl
0.500 0.500 0.304 C
0.000 0.000 0.696 C
```

Values from the calculation:
The density of states at the Fermi level comes out at 5.0 states/eV per cell. The value obtained for the energy of formation from the pure elements is 1063.0 meV/atom. The symmetry is Pmmn, No. 59. The calculation puts the total energy at -24.14 eV for the cell shown. For the relative energy among the computed polymorphs, the calculation gives 477 meV per atom.

# 4
A relaxed structure of KHfGa3. Source: Alexandria via LeMat-Bulk, functional PBE-GGA.

Geometry as POSCAR:
```
KHfGa3
1.0
5.349 0.000 0.000
0.000 5.349 0.000
0.000 0.000 5.349
K Ga Hf
1 3 1
Direct
0.500 0.500 0.500 K
0.000 0.500 0.000 Ga
0.000 0.000 0.500 Ga
0.500 0.000 0.000 Ga
0.000 0.000 0.000 Hf
```

Values from the calculation:
The density of states at the Fermi level comes out at 4.4 states/eV per cell. The value obtained for the energy of formation from the pure elements is 245.4 meV/atom. The symmetry is Pm-3m, No. 221. The calculation puts the total energy at -18.90 eV for the cell shown. For the relative energy among the computed polymorphs, the calculation gives 0 meV per atom.

# 5
A relaxed structure of Hf2AlBiI. Source: Alexandria via LeMat-Bulk, functional PBE-GGA.

Geometry as POSCAR:
```
Hf2AlBiI
1.0
5.543 0.000 0.000
0.000 5.258 0.000
0.000 0.000 5.543
Hf Al I Bi
2 1 1 1
Direct
0.000 0.000 0.500 Hf
0.500 0.000 0.000 Hf
0.000 0.500 0.000 Al
0.500 0.500 0.500 I
0.000 0.000 0.000 Bi
```

Values from the calculation:
The density of states at the Fermi level comes out at 7.7 states/eV per cell. The symmetry is P4/mmm, No. 123. The calculation puts the total energy at -22.62 eV for the cell shown.

# 6
A relaxed structure of HfGaPCl2. Source: Alexandria via LeMat-Bulk, functional PBE-GGA.

Geometry as POSCAR:
```
HfGaPCl2
1.0
5.018 0.000 0.000
0.000 5.018 0.000
0.000 0.000 5.073
Cl Ga Hf P
2 1 1 1
Direct
0.000 0.500 0.000 Cl
0.500 0.000 0.000 Cl
0.500 0.500 0.500 Ga
0.000 0.000 0.000 Hf
0.000 0.000 0.500 P
```

Values from the calculation:
The density of states at the Fermi level comes out at 1.2 states/eV per cell. The symmetry is P4/mmm, No. 123. The calculation puts the total energy at -25.44 eV for the cell shown. For the relative energy among the computed polymorphs, the calculation gives 0 meV per atom.